Record 1
Computed, not measured: a PBEsol-optimized structure of VPO5 at the meta-GGA SCAN level of DFT.

Cell: 12.4005 6.1359 10.5113 Å, 90.00 90.00 90.00°
Positions (direct):
V (0.1150, 0.0046, 0.0000)
V (0.2484, 0.2798, 0.7553)
V (0.2516, 0.7798, 0.2553)
V (0.3850, 0.5046, 0.5000)
V (0.6150, 0.4954, 0.0000)
V (0.7484, 0.2202, 0.7553)
V (0.7516, 0.7202, 0.2553)
V (0.8850, 0.9954, 0.5000)
P (0.0043, 0.8358, 0.2628)
P (0.1887, 0.4994, 0.0222)
P (0.3113, 0.9994, 0.5222)
P (0.4957, 0.3358, 0.7628)
P (0.5043, 0.6642, 0.2628)
P (0.6887, 0.0006, 0.0222)
P (0.8113, 0.5006, 0.5222)
P (0.9957, 0.1642, 0.7628)
O (0.0047, 0.0291, 0.8899)
O (0.0122, 0.9847, 0.1490)
O (0.0971, 0.3107, 0.7537)
O (0.1063, 0.6937, 0.2817)
O (0.1151, 0.6987, 0.9997)
O (0.1161, 0.3015, 0.0502)
O (0.2128, 0.0410, 0.8985)
O (0.2213, 0.9630, 0.1494)
O (0.2371, 0.0469, 0.6376)
O (0.2428, 0.9574, 0.4021)
O (0.2572, 0.4574, 0.9021)
O (0.2629, 0.5469, 0.1376)
O (0.2787, 0.4630, 0.6494)
O (0.2872, 0.5410, 0.3985)
O (0.3839, 0.8015, 0.5502)
O (0.3849, 0.1987, 0.4997)
O (0.3937, 0.1937, 0.7817)
O (0.4029, 0.8107, 0.2537)
O (0.4878, 0.4847, 0.6490)
O (0.4953, 0.5291, 0.3899)
O (0.5047, 0.4709, 0.8899)
O (0.5122, 0.5153, 0.1490)
O (0.5971, 0.1893, 0.7537)
O (0.6063, 0.8063, 0.2817)
O (0.6151, 0.8013, 0.9997)
O (0.6161, 0.1985, 0.0502)
O (0.7128, 0.4590, 0.8985)
O (0.7213, 0.5370, 0.1494)
O (0.7371, 0.4531, 0.6376)
O (0.7428, 0.5426, 0.4021)
O (0.7572, 0.0426, 0.9021)
O (0.7629, 0.9531, 0.1376)
O (0.7787, 0.0370, 0.6494)
O (0.7872, 0.9590, 0.3985)
O (0.8839, 0.6985, 0.5502)
O (0.8849, 0.3013, 0.4997)
O (0.8937, 0.3063, 0.7817)
O (0.9029, 0.6893, 0.2537)
O (0.9878, 0.0153, 0.6490)
O (0.9953, 0.9709, 0.3899)

**Total magnetization**: 0.00 Bohr magnetons per cell
**Uncorrected formation energy**: -2.4262 eV per atom
**Uncorrected energy**: -10.8609 eV/atom
**Crystal system**: orthorhombic



Record 2
Computed, not measured: a PBEsol-optimized structure of MnTc2Ag at the meta-GGA SCAN level of DFT.

Cell: 3.7139 3.7139 4.0632 Å, 90.00 90.00 90.00°
Positions (direct):
Mn (0.0000, 0.0000, 0.0000)
Tc (0.0000, 0.5000, 0.5000)
Tc (0.5000, 0.0000, 0.5000)
Ag (0.5000, 0.5000, 0.0000)

**Total magnetization**: 3.02 Bohr magnetons per cell
**Energy of formation from the pure elements**: 282 meV/atom
**Uncorrected energy**: -29.6536 eV/atom
**Crystal system**: tetragonal



Record 3
Computed, not measured: a PBEsol-optimized structure of AsPtSe2N at the meta-GGA SCAN level of DFT.

Cell: 4.1999 4.1999 4.3908 Å, 90.00 90.00 90.00°
Positions (direct):
As (0.0000, 0.0000, 0.0000)
Pt (0.5000, 0.5000, 0.0000)
Se (0.0000, 0.5000, 0.5000)
Se (0.5000, 0.0000, 0.5000)
N (0.0000, 0.0000, 0.5000)

**Total magnetization**: 0.00 Bohr magnetons per cell
**Uncorrected formation energy**: 1.0330 eV per atom
**Uncorrected energy**: -26.9333 eV/atom
**Crystal system**: tetragonal



Record 4
Computed, not measured: a PBEsol-optimized structure of YZrSi2 at the meta-GGA SCAN level of DFT.

Cell: 3.2614 3.2614 7.3602 Å, 90.00 90.00 91.71°
Positions (direct):
Y (0.0000, 0.0000, 0.0000)
Zr (0.5000, 0.5000, 0.6366)
Si (0.0000, 0.0000, 0.4117)
Si (0.5000, 0.5000, 0.2621)

**Total magnetization**: 0.00 Bohr magnetons per cell
**Uncorrected formation energy**: -0.2160 eV per atom
**Uncorrected energy**: -19.8593 eV/atom
**Crystal system**: orthorhombic



Record 5
Computed, not measured: a PBEsol-optimized structure of CdBrCl at the meta-GGA SCAN level of DFT.

Cell: 3.8877 3.8877 6.2296 Å, 90.00 90.00 120.00°
Positions (direct):
Cd (0.0000, 0.0000, 0.0000)
Br (0.6667, 0.3333, 0.2559)
Cl (0.3333, 0.6667, 0.7740)

**Total magnetization**: 0.00 Bohr magnetons per cell
**Uncorrected formation energy**: -1.1144 eV per atom
**Uncorrected energy**: -20.3983 eV/atom
**Crystal system**: trigonal



Record 6
Computed, not measured: a PBEsol-optimized structure of MnZnCu2 at the meta-GGA SCAN level of DFT.

Cell: 8.5105 8.5105 8.5105 Å, 17.26 17.26 17.26°
Positions (direct):
Mn (0.0000, 0.0000, 0.0000)
Zn (0.2481, 0.2481, 0.2481)
Cu (0.4973, 0.4973, 0.4973)
Cu (0.7491, 0.7491, 0.7491)

**Total magnetization**: 3.40 Bohr magnetons per cell
**Energy of formation from the pure elements**: 35 meV/atom
**Uncorrected energy**: -15.5074 eV/atom
**Crystal system**: trigonal